# Na2FeOsSe, PBEsol geometry, DFT meta-GGA SCAN
data_Na2FeOsSe
_chemical_formula_sum 'Na2 Fe1 Os1 Se1'
_cell_length_a 5.1253
_cell_length_b 5.1253
_cell_length_c 4.4674
_cell_angle_alpha 90.00
_cell_angle_beta 90.00
_cell_angle_gamma 90.00
_space_group_name_H-M_alt 'P 4/m m m'
_space_group_IT_number 123
_space_group_name_Hall '-P 4 2'
loop_
_atom_site_label
_atom_site_fract_x
_atom_site_fract_y
_atom_site_fract_z
Na1 0.0000 0.5000 0.0000
Fe1 0.0000 0.0000 0.5000
Os1 0.5000 0.5000 0.5000
Se1 0.0000 0.0000 0.0000
# **Mass density**: 5.25 g/cm³
# **ΔE_f (raw)**: 1049 meV per atom